# CsBa3Ag4Cl12 PBE relaxed
# - Formation energy from raw total energies: -1462 meV/atom
data_CsBa3Ag4Cl12
_symmetry_space_group_name_H-M 'R 3 2'
_symmetry_Int_Tables_number 155
_symmetry_space_group_name_Hall 'R 3 2"'
_cell_length_a 15.3874
_cell_length_b 15.3874
_cell_length_c 11.8329
_cell_angle_alpha 90.00
_cell_angle_beta 90.00
_cell_angle_gamma 120.00
loop_
_atom_site_label
_atom_site_fract_x
_atom_site_fract_y
_atom_site_fract_z
Cs1 0.0000 0.0000 0.0000
Ba1 0.0000 0.5531 0.0000
Ag1 0.0000 0.0000 0.5000
Ag2 0.0000 0.4318 0.5000
Cl1 0.0000 0.6001 0.5000
Cl2 0.0000 0.8388 0.5000
Cl3 0.0298 0.1906 0.1975